Entry 1:
AcCdAg | OQMD | PBE-GGA | relaxed; volume = 35.28 Å³/atom; ΔE to the lowest computed polymorph = 101 kJ/mol of formula units; formation enthalpy at 0 K = 0.161 eV/atom
1.0
0.000 3.755 3.755
3.755 0.000 3.755
3.755 3.755 0.000
Ac Cd Ag
1 1 1
Direct
0.000 0.000 0.000
0.250 0.250 0.250
0.750 0.750 0.750

Entry 2:
LiMgTaNi | OQMD | PBE-GGA | relaxed; volume = 14.75 Å³/atom; ΔE to the lowest computed polymorph = 205 kJ/mol of formula units
1.0
0.000 3.090 3.090
3.090 0.000 3.090
3.090 3.090 0.000
Li Mg Ta Ni
1 1 1 1
Direct
0.000 0.000 0.000
0.500 0.500 0.500
0.250 0.250 0.250
0.750 0.750 0.750

Entry 3:
NdTaN2O | OQMD | PBE-GGA | relaxed; volume = 12.93 Å³/atom; final energy = -382.431 eV/cell
1.0
7.995 0.000 0.000
0.000 8.075 0.000
-7.909 0.000 8.013
Nd Ta N O
8 8 16 8
Direct
0.039 0.244 0.019
0.039 0.256 0.519
0.458 0.746 0.479
0.458 0.754 0.979
0.542 0.246 0.021
0.542 0.254 0.521
0.961 0.744 0.481
0.961 0.756 0.981
0.015 0.007 0.262
0.015 0.493 0.762
0.492 0.503 0.238
0.492 0.997 0.738
0.508 0.003 0.262
0.508 0.497 0.762
0.985 0.507 0.238
0.985 0.993 0.738
0.016 0.750 0.220
0.016 0.750 0.720
0.194 0.538 0.000
0.194 0.962 0.500
0.294 0.035 0.294
0.294 0.465 0.794
0.478 0.248 0.201
0.478 0.252 0.701
0.522 0.748 0.299
0.522 0.752 0.799
0.706 0.535 0.206
0.706 0.965 0.706
0.806 0.038 0.500
0.806 0.462 0.000
0.984 0.250 0.280
0.984 0.250 0.780
0.209 0.546 0.499
0.209 0.954 0.999
0.306 0.040 0.807
0.306 0.460 0.307
0.694 0.540 0.693
0.694 0.960 0.193
0.791 0.046 0.001
0.791 0.454 0.501